An optimized crystal structure of Ba6TlAs2Br3. Source: the Alexandria database, functional GGA-PBE.

Lattice parameters (Å, degrees): 4.7779 10.0019 10.9984 103.16 102.55 90.00
Last column: magnetic moment on the atom in μB.
Sites, in units of the cell vectors:
1 Ba 0.3339 0.8879 0.6678  0.05
2 Ba 0.6757 0.5667 0.3514  0.00
3 Ba 0.6661 0.1121 0.3322  0.05
4 Ba 0.0105 0.2562 0.0210  0.05
5 Ba 0.9895 0.7438 0.9790  0.05
6 Ba 0.3243 0.4333 0.6486  0.00
7 Tl 0.5000 0.0000 0.0000  0.19
8 As 0.8327 0.6614 0.6655  0.01
9 As 0.1673 0.3386 0.3345  0.01
10 Br 0.5000 0.5000 0.0000  0.00
11 Br 0.8309 0.1680 0.6617  0.01
12 Br 0.1691 0.8320 0.3383  0.01

Properties
Electronic total energy = -3.706 eV per atom
Energy relative to the elements, uncorrected = -16.25 eV/f.u.
Spin magnetization = 1.2 μB per cell